# InAgPb2

InAgPb2 at its PBEsol-relaxed geometry (meta-GGA SCAN, Alexandria via LeMat-Bulk).

Values from the calculation:
space-group type = I4/mmm
energy of formation = 0.12 eV per atom

a = 4.719 Å, b = 4.719 Å, c = 5.594 Å
α = 114.95°, β = 114.95°, γ = 90.00°
Element x y z (fractional)
Ag  0.500  0.500  0.000
In  0.000  0.000  0.000
Pb  0.750  0.250  0.500
Pb  0.250  0.750  0.500

***

# InAgPb2

InAgPb2 at its PBEsol-relaxed geometry (meta-GGA SCAN, Alexandria via LeMat-Bulk).

Values from the calculation:
space-group type = P4/mmm
energy of formation = 0.08 eV per atom

a = 3.384 Å, b = 3.384 Å, c = 8.758 Å
α = 90.00°, β = 90.00°, γ = 90.00°
Element x y z (fractional)
Pb  0.000  0.000  0.779
Pb  0.000  0.000  0.221
Ag  0.500  0.500  0.000
In  0.500  0.500  0.500